A.
Here is an optimized crystal structure of LaCdF2 from the Alexandria database. Energies are from PBE-GGA.

Summary:
V   27.76 A^3/atom
Fermi-level density of states   6.55 states/eV per cell

abc: 5.5269 5.5269 8.2545
angles: 70.44 70.44 90.00
Sites, in units of the cell vectors:
F 0.9092 0.6250 0.2500
F 0.8408 0.1250 0.2500
F 0.8750 0.0908 0.7500
F 0.3750 0.1592 0.7500
Cd 0.5000 0.5000 0.0000
Cd 0.2500 0.7500 0.5000
La 0.0000 0.0000 0.0000
La 0.7500 0.2500 0.5000

---

B.
Here is an optimized crystal structure of LaCdF2 from the Alexandria database. Energies are from PBE-GGA.

Summary:
V   26.12 A^3/atom
Fermi-level density of states   2.45 states/eV per cell

abc: 9.1545 9.1545 9.1545
angles: 23.20 23.20 23.20
Sites, in units of the cell vectors:
La 0.0000 0.0000 0.0000
F 0.0814 0.0814 0.0814
F 0.9186 0.9186 0.9186
Cd 0.5000 0.5000 0.5000

---

Among the structures above, stability is greatest for A.